Compound: BaAg2Hg2
Source: the Alexandria database
Functional: PBE-GGA
Structure: optimized geometry

Geometry as CIF:
```
data_BaAg2Hg2
_cell_length_a 8.590
_cell_length_b 8.590
_cell_length_c 3.575
_cell_angle_alpha 90.00
_cell_angle_beta 90.00
_cell_angle_gamma 90.00
_space_group_name_H-M_alt 'P 1'
_space_group_IT_number 1
_space_group_name_Hall 'P 1'
loop_
_atom_site_label
_atom_site_type_symbol
_atom_site_fract_x
_atom_site_fract_y
_atom_site_fract_z
Ba1 Ba 0.000 0.000 0.000
Ba2 Ba 0.500 0.500 0.000
Ag1 Ag 0.171 0.329 0.500
Ag2 Ag 0.329 0.829 0.500
Ag3 Ag 0.671 0.171 0.500
Ag4 Ag 0.829 0.671 0.500
Hg1 Hg 0.124 0.624 0.000
Hg2 Hg 0.376 0.124 0.000
Hg3 Hg 0.624 0.876 0.000
Hg4 Hg 0.876 0.376 0.000
```

Summary:
Fermi-level density of states: 0.53 states/eV/atom
Symmetry: P4/mbm, No. 127
E_form: -1.79 kcal/mol of atoms
ΔE to the lowest computed polymorph: 176 meV per atom
Final energy: -1.72 eV per atom


Compound: Ba8AgHg2
Source: the Alexandria database
Functional: PBE-GGA
Structure: optimized geometry

Geometry as CIF:
```
data_Ba8AgHg2
_cell_length_a 9.161
_cell_length_b 9.161
_cell_length_c 7.509
_cell_angle_alpha 100.78
_cell_angle_beta 100.78
_cell_angle_gamma 111.33
_space_group_name_H-M_alt 'P 1'
_space_group_IT_number 1
_space_group_name_Hall 'P 1'
loop_
_atom_site_label
_atom_site_type_symbol
_atom_site_fract_x
_atom_site_fract_y
_atom_site_fract_z
Ba1 Ba 0.000 0.000 0.000
Ba2 Ba 0.008 0.279 0.568
Ba3 Ba 0.143 0.555 0.180
Ba4 Ba 0.279 0.008 0.568
Ba5 Ba 0.425 0.690 0.793
Ba6 Ba 0.555 0.143 0.180
Ba7 Ba 0.690 0.425 0.793
Ba8 Ba 0.707 0.707 0.377
Ag1 Ag 0.358 0.358 0.402
Hg1 Hg 0.037 0.671 0.692
Hg2 Hg 0.671 0.037 0.692
```

Summary:
Fermi-level density of states: 1.34 states/eV/atom
Symmetry: Cm, No. 8
E_form: -4.15 kcal/mol of atoms
ΔE to the lowest computed polymorph: 31 meV per atom
Final energy: -1.89 eV per atom


Compound: Ba2AgHg7
Source: the Alexandria database
Functional: PBE-GGA
Structure: optimized geometry

Geometry as CIF:
```
data_Ba2AgHg7
_cell_length_a 4.809
_cell_length_b 4.809
_cell_length_c 12.803
_cell_angle_alpha 90.00
_cell_angle_beta 90.00
_cell_angle_gamma 90.00
_space_group_name_H-M_alt 'P 1'
_space_group_IT_number 1
_space_group_name_Hall 'P 1'
loop_
_atom_site_label
_atom_site_type_symbol
_atom_site_fract_x
_atom_site_fract_y
_atom_site_fract_z
Ba1 Ba 0.000 0.500 0.245
Ba2 Ba 0.500 0.000 0.755
Ag1 Ag 0.500 0.500 0.000
Hg1 Hg 0.000 0.000 0.000
Hg2 Hg 0.000 0.000 0.500
Hg3 Hg 0.000 0.500 0.643
Hg4 Hg 0.000 0.500 0.870
Hg5 Hg 0.500 0.000 0.130
Hg6 Hg 0.500 0.000 0.357
Hg7 Hg 0.500 0.500 0.500
```

Summary:
Fermi-level density of states: 0.64 states/eV/atom
Symmetry: P-4m2, No. 115
E_form: -7.22 kcal/mol of atoms
Final energy: -1.19 eV per atom


Compound: BaAgHg
Source: the Alexandria database
Functional: PBE-GGA
Structure: optimized geometry

Geometry as CIF:
```
data_BaAgHg
_cell_length_a 5.302
_cell_length_b 5.302
_cell_length_c 5.302
_cell_angle_alpha 60.00
_cell_angle_beta 60.00
_cell_angle_gamma 60.00
_space_group_name_H-M_alt 'P 1'
_space_group_IT_number 1
_space_group_name_Hall 'P 1'
loop_
_atom_site_label
_atom_site_type_symbol
_atom_site_fract_x
_atom_site_fract_y
_atom_site_fract_z
Ba1 Ba 0.000 0.000 0.000
Ag1 Ag 0.750 0.750 0.750
Hg1 Hg 0.500 0.500 0.500
```

Summary:
Fermi-level density of states: 0.83 states/eV/atom
Symmetry: F-43m, No. 216
E_form: -5.62 kcal/mol of atoms
Final energy: -1.94 eV per atom


Compound: BaAgHg2
Source: the Alexandria database
Functional: PBE-GGA
Structure: optimized geometry

Geometry as CIF:
```
data_BaAgHg2
_cell_length_a 4.087
_cell_length_b 4.087
_cell_length_c 7.120
_cell_angle_alpha 90.00
_cell_angle_beta 90.00
_cell_angle_gamma 90.00
_space_group_name_H-M_alt 'P 1'
_space_group_IT_number 1
_space_group_name_Hall 'P 1'
loop_
_atom_site_label
_atom_site_type_symbol
_atom_site_fract_x
_atom_site_fract_y
_atom_site_fract_z
Ba1 Ba 0.000 0.000 0.000
Ag1 Ag 0.500 0.500 0.712
Hg1 Hg 0.000 0.000 0.517
Hg2 Hg 0.500 0.500 0.295
```

Summary:
Fermi-level density of states: 0.37 states/eV/atom
Symmetry: P4mm, No. 99
E_form: -5.19 kcal/mol of atoms
Final energy: -1.57 eV per atom


Compound: BaAgHg2
Source: the Alexandria database
Functional: PBE-GGA
Structure: optimized geometry

Geometry as CIF:
```
data_BaAgHg2
_cell_length_a 4.172
_cell_length_b 5.020
_cell_length_c 6.073
_cell_angle_alpha 90.00
_cell_angle_beta 90.09
_cell_angle_gamma 90.00
_space_group_name_H-M_alt 'P 1'
_space_group_IT_number 1
_space_group_name_Hall 'P 1'
loop_
_atom_site_label
_atom_site_type_symbol
_atom_site_fract_x
_atom_site_fract_y
_atom_site_fract_z
Ba1 Ba 0.000 0.000 0.000
Ag1 Ag 0.499 0.500 0.757
Hg1 Hg 0.499 0.000 0.519
Hg2 Hg 0.501 0.500 0.252
```

Summary:
Fermi-level density of states: 0.43 states/eV/atom
Symmetry: Pm, No. 6
E_form: -6.00 kcal/mol of atoms
Final energy: -1.60 eV per atom


Compound: BaAg2Hg
Source: the Alexandria database
Functional: PBE-GGA
Structure: optimized geometry

Geometry as CIF:
```
data_BaAg2Hg
_cell_length_a 5.415
_cell_length_b 5.415
_cell_length_c 5.415
_cell_angle_alpha 119.90
_cell_angle_beta 119.90
_cell_angle_gamma 90.18
_space_group_name_H-M_alt 'P 1'
_space_group_IT_number 1
_space_group_name_Hall 'P 1'
loop_
_atom_site_label
_atom_site_type_symbol
_atom_site_fract_x
_atom_site_fract_y
_atom_site_fract_z
Ba1 Ba 0.000 0.000 0.000
Ag1 Ag 0.500 0.500 0.000
Ag2 Ag 0.750 0.250 0.500
Hg1 Hg 0.250 0.750 0.500
```

Summary:
Fermi-level density of states: 0.24 states/eV/atom
Symmetry: I-4m2, No. 119
E_form: -3.92 kcal/mol of atoms
Final energy: -2.15 eV per atom


Compound: Ba3Ag2Hg3
Source: the Alexandria database
Functional: PBE-GGA
Structure: optimized geometry

Geometry as CIF:
```
data_Ba3Ag2Hg3
_cell_length_a 6.563
_cell_length_b 6.563
_cell_length_c 17.708
_cell_angle_alpha 90.00
_cell_angle_beta 90.00
_cell_angle_gamma 135.54
_space_group_name_H-M_alt 'P 1'
_space_group_IT_number 1
_space_group_name_Hall 'P 1'
loop_
_atom_site_label
_atom_site_type_symbol
_atom_site_fract_x
_atom_site_fract_y
_atom_site_fract_z
Ba1 Ba 0.097 0.903 0.598
Ba2 Ba 0.097 0.903 0.902
Ba3 Ba 0.372 0.628 0.750
Ba4 Ba 0.628 0.372 0.250
Ba5 Ba 0.903 0.097 0.098
Ba6 Ba 0.903 0.097 0.402
Ag1 Ag 0.201 0.799 0.108
Ag2 Ag 0.201 0.799 0.392
Ag3 Ag 0.799 0.201 0.608
Ag4 Ag 0.799 0.201 0.892
Hg1 Hg 0.339 0.661 0.250
Hg2 Hg 0.385 0.615 0.546
Hg3 Hg 0.385 0.615 0.954
Hg4 Hg 0.615 0.385 0.046
Hg5 Hg 0.615 0.385 0.454
Hg6 Hg 0.661 0.339 0.750
```

Summary:
Fermi-level density of states: 0.80 states/eV/atom
Symmetry: Cmcm, No. 63
E_form: -9.42 kcal/mol of atoms
Final energy: -1.96 eV per atom


Compound: Ba3Ag4Hg2
Source: the Alexandria database
Functional: PBE-GGA
Structure: optimized geometry

Geometry as CIF:
```
data_Ba3Ag4Hg2
_cell_length_a 6.641
_cell_length_b 6.641
_cell_length_c 9.694
_cell_angle_alpha 106.29
_cell_angle_beta 106.29
_cell_angle_gamma 44.35
_space_group_name_H-M_alt 'P 1'
_space_group_IT_number 1
_space_group_name_Hall 'P 1'
loop_
_atom_site_label
_atom_site_type_symbol
_atom_site_fract_x
_atom_site_fract_y
_atom_site_fract_z
Ba1 Ba 0.000 0.000 0.000
Ba2 Ba 0.336 0.336 0.330
Ba3 Ba 0.664 0.664 0.670
Ag1 Ag 0.060 0.060 0.396
Ag2 Ag 0.277 0.277 0.948
Ag3 Ag 0.723 0.723 0.052
Ag4 Ag 0.940 0.940 0.604
Hg1 Hg 0.384 0.384 0.718
Hg2 Hg 0.616 0.616 0.282
```

Summary:
Fermi-level density of states: 0.71 states/eV/atom
Symmetry: C2/m, No. 12
E_form: -8.07 kcal/mol of atoms
Final energy: -2.33 eV per atom


Compound: Ba2AgHg6
Source: the Alexandria database
Functional: PBE-GGA
Structure: optimized geometry

Geometry as CIF:
```
data_Ba2AgHg6
_cell_length_a 6.972
_cell_length_b 6.972
_cell_length_c 6.277
_cell_angle_alpha 90.00
_cell_angle_beta 90.00
_cell_angle_gamma 120.00
_space_group_name_H-M_alt 'P 1'
_space_group_IT_number 1
_space_group_name_Hall 'P 1'
loop_
_atom_site_label
_atom_site_type_symbol
_atom_site_fract_x
_atom_site_fract_y
_atom_site_fract_z
Ba1 Ba 0.333 0.667 0.178
Ba2 Ba 0.667 0.333 0.822
Ag1 Ag 0.000 0.000 0.000
Hg1 Hg 0.176 0.352 0.681
Hg2 Hg 0.176 0.824 0.681
Hg3 Hg 0.352 0.176 0.319
Hg4 Hg 0.648 0.824 0.681
Hg5 Hg 0.824 0.176 0.319
Hg6 Hg 0.824 0.648 0.319
```

Summary:
Fermi-level density of states: 0.69 states/eV/atom
Symmetry: P-3m1, No. 164
E_form: -8.23 kcal/mol of atoms
Final energy: -1.30 eV per atom


Compound: Ba2Ag3Hg5
Source: the Alexandria database
Functional: PBE-GGA
Structure: optimized geometry

Geometry as CIF:
```
data_Ba2Ag3Hg5
_cell_length_a 9.913
_cell_length_b 9.913
_cell_length_c 9.913
_cell_angle_alpha 108.08
_cell_angle_beta 84.61
_cell_angle_gamma 141.58
_space_group_name_H-M_alt 'P 1'
_space_group_IT_number 1
_space_group_name_Hall 'P 1'
loop_
_atom_site_label
_atom_site_type_symbol
_atom_site_fract_x
_atom_site_fract_y
_atom_site_fract_z
Ba1 Ba 0.141 0.219 0.360
Ba2 Ba 0.359 0.719 0.078
Ba3 Ba 0.641 0.281 0.922
Ba4 Ba 0.859 0.781 0.640
Ag1 Ag 0.150 0.906 0.056
Ag2 Ag 0.250 0.750 0.500
Ag3 Ag 0.350 0.406 0.756
Ag4 Ag 0.650 0.594 0.244
Ag5 Ag 0.750 0.250 0.500
Ag6 Ag 0.850 0.094 0.944
Hg1 Hg 0.046 0.750 0.296
Hg2 Hg 0.087 0.676 0.763
Hg3 Hg 0.250 0.250 0.000
Hg4 Hg 0.413 0.176 0.590
Hg5 Hg 0.454 0.750 0.704
Hg6 Hg 0.546 0.250 0.296
Hg7 Hg 0.587 0.824 0.410
Hg8 Hg 0.750 0.750 0.000
Hg9 Hg 0.913 0.324 0.237
Hg10 Hg 0.954 0.250 0.704
```

Summary:
Fermi-level density of states: 0.54 states/eV/atom
Symmetry: Ibam, No. 72
E_form: -6.49 kcal/mol of atoms
ΔE to the lowest computed polymorph: 0 meV per atom
Final energy: -1.67 eV per atom


Compound: Ba2Ag2Hg
Source: the Alexandria database
Functional: PBE-GGA
Structure: optimized geometry

Geometry as CIF:
```
data_Ba2Ag2Hg
_cell_length_a 6.686
_cell_length_b 6.686
_cell_length_c 12.500
_cell_angle_alpha 116.24
_cell_angle_beta 116.24
_cell_angle_gamma 43.51
_space_group_name_H-M_alt 'P 1'
_space_group_IT_number 1
_space_group_name_Hall 'P 1'
loop_
_atom_site_label
_atom_site_type_symbol
_atom_site_fract_x
_atom_site_fract_y
_atom_site_fract_z
Ba1 Ba 0.030 0.030 0.345
Ba2 Ba 0.195 0.195 0.113
Ba3 Ba 0.805 0.805 0.887
Ba4 Ba 0.970 0.970 0.655
Ag1 Ag 0.368 0.368 0.435
Ag2 Ag 0.486 0.486 0.110
Ag3 Ag 0.514 0.514 0.890
Ag4 Ag 0.632 0.632 0.565
Hg1 Hg 0.268 0.268 0.660
Hg2 Hg 0.732 0.732 0.340
```

Summary:
Fermi-level density of states: 0.63 states/eV/atom
Symmetry: C2/m, No. 12
E_form: -7.82 kcal/mol of atoms
ΔE to the lowest computed polymorph: 0 meV per atom
Final energy: -2.31 eV per atom